A plane-wave DFT calculation with PBE with a Hubbard U was carried out for a geometry-optimized Na2Sr2MoO6 structure.

## Properties
The calculated total energy is -6.001 eV/atom. Its space group is C2/m.

extended XYZ file:
```
11
Lattice="3.074 -5.192 0.000 3.074 5.192 0.000 -1.411 0.000 5.729" Properties=species:S:1:pos:R:3 pbc="T T T"
Na 3.074 3.767 0.000
Na 3.074 -3.767 0.000
Sr 2.369 1.688 2.864
Sr 2.369 -1.688 2.864
Mo -0.705 0.000 2.864
O 0.115 1.430 3.957
O 0.887 0.000 1.711
O 0.115 -1.430 3.957
O 4.622 1.430 1.771
O 3.851 0.000 4.017
O 4.622 -1.430 1.771
```